No. 1
Zr2PaCoO8: optimized geometry, GGA+U.

It has space group Cmmm (No. 65), with a = 6.943 Å, b = 7.110 Å, c = 6.463 Å, α = 90.00°, β = 90.00° and γ = 90.00°. The inequivalent atoms are Zr at (0.000, 0.000, 0.235), Pa at (0.000, 0.500, 0.500), Co at (0.000, 0.500, 0.000), O at (0.000, 0.189, 0.500), O at (0.000, 0.193, 0.000) and O at (0.188, 0.500, 0.230).

Its total energy is -209.91 eV per cell. The density comes out at 6250 kg/m³.

***

No. 2
ZrPaCo2O8: optimized geometry, GGA+U.

It has space group I-4m2 (No. 119), with a = 6.898 Å, b = 6.898 Å, c = 6.522 Å, α = 90.00°, β = 90.00° and γ = 90.00°. The inequivalent atoms are Zr at (0.000, 0.000, 0.000), Pa at (0.000, 0.500, 0.250), Co at (0.000, 0.000, 0.500), Co at (0.000, 0.500, 0.750), O at (0.000, 0.186, 0.295) and O at (0.000, 0.308, 0.934).

Its total energy is -187.90 eV per cell. The density comes out at 6080 kg/m³.

***

No. 3
Co3PbO: optimized geometry, GGA+U.

It has space group Pm-3m (No. 221), with a = 5.192 Å, b = 5.192 Å, c = 5.192 Å, α = 90.00°, β = 90.00° and γ = 90.00°. The inequivalent atoms are Co at (0.000, 0.000, 0.500), Pb at (0.000, 0.000, 0.000) and O at (0.500, 0.500, 0.500).

Its total energy is -14.67 eV per cell. The density comes out at 4747 kg/m³. The polymorph energy (0 for the lowest one) is 1457 meV/atom.